1.
# CuSb2Ru (PBE-GGA, optimized geometry)
# DOS at the Fermi energy in states/eV/f.u.: 2.59
# Crystal system: monoclinic
# Magnetization in μB/atom: 0.000
# Polymorph energy (0 for the lowest one) in eV per formula unit: 0.564
data_CuSb2Ru
_chemical_formula_sum 'Cu2 Sb4 Ru2'
_symmetry_space_group_name_H-M 'C 1 2/m 1'
_symmetry_Int_Tables_number 12
_symmetry_space_group_name_Hall '-C 2y'
_cell_length_a 8.248
_cell_length_b 3.343
_cell_length_c 5.587
_cell_angle_alpha 90.00
_cell_angle_beta 100.28
_cell_angle_gamma 90.00
loop_
_atom_site_label
_atom_site_type_symbol
_atom_site_fract_x
_atom_site_fract_y
_atom_site_fract_z
_atom_site_occupancy
Cu1 Cu 0.000 0.000 0.000 1
Sb1 Sb 0.236 0.000 0.741 1
Ru1 Ru 0.000 0.500 0.500 1



2.
# CuSb2Ru (PBE-GGA, optimized geometry)
# DOS at the Fermi energy in states/eV/f.u.: 3.79
# Crystal system: tetragonal
# Magnetization in μB/atom: 0.000
# Polymorph energy (0 for the lowest one) in eV per formula unit: 1.212
data_CuSb2Ru
_chemical_formula_sum 'Cu2 Sb4 Ru2'
_symmetry_space_group_name_H-M 'I -4 m 2'
_symmetry_Int_Tables_number 119
_symmetry_space_group_name_Hall 'I -4 -2'
_cell_length_a 3.980
_cell_length_b 3.980
_cell_length_c 9.387
_cell_angle_alpha 90.00
_cell_angle_beta 90.00
_cell_angle_gamma 90.00
loop_
_atom_site_label
_atom_site_type_symbol
_atom_site_fract_x
_atom_site_fract_y
_atom_site_fract_z
_atom_site_occupancy
Cu1 Cu 0.000 0.000 0.000 1
Sb1 Sb 0.000 0.000 0.500 1
Sb2 Sb 0.000 0.500 0.250 1
Ru1 Ru 0.000 0.500 0.750 1



3.
# Cu2SbRu2 (PBE-GGA, optimized geometry)
# DOS at the Fermi energy in states/eV/f.u.: 5.67
# Crystal system: tetragonal
# Magnetization in μB/atom: 0.000
data_Cu2SbRu2
_chemical_formula_sum 'Cu4 Sb2 Ru4'
_symmetry_space_group_name_H-M 'P 4/m b m'
_symmetry_Int_Tables_number 127
_symmetry_space_group_name_Hall '-P 4 2ab'
_cell_length_a 6.556
_cell_length_b 6.556
_cell_length_c 3.716
_cell_angle_alpha 90.00
_cell_angle_beta 90.00
_cell_angle_gamma 90.00
loop_
_atom_site_label
_atom_site_type_symbol
_atom_site_fract_x
_atom_site_fract_y
_atom_site_fract_z
_atom_site_occupancy
Cu1 Cu 0.158 0.342 0.000 1
Sb1 Sb 0.000 0.000 0.500 1
Ru1 Ru 0.135 0.635 0.500 1



Number 1: calculated density 8.9 g cm⁻³, ΔE_f (raw) 0.1852 eV/atom. Number 2: calculated density 9.1 g cm⁻³, ΔE_f (raw) 0.3473 eV/atom. Number 3: calculated density 9.4 g cm⁻³, ΔE_f (raw) 0.3188 eV/atom.